DyHo12Co5 | Alexandria | PBE | relaxed; V = 443.0 Å³/cell; formation energy = -0.13 eV per atom; DOS at the Fermi energy = 0.861 states/eV per atom
1.0
-4.706 4.742 4.963
4.706 -4.742 4.963
4.706 4.742 -4.963
Dy Ho Co
1 12 5
direct
0.000 0.000 0.000 Dy
0.107 0.298 0.809 Ho
0.186 0.498 0.312 Ho
0.186 0.874 0.688 Ho
0.317 0.208 0.526 Ho
0.317 0.792 0.109 Ho
0.489 0.298 0.191 Ho
0.511 0.702 0.809 Ho
0.683 0.208 0.891 Ho
0.683 0.792 0.474 Ho
0.814 0.126 0.312 Ho
0.814 0.502 0.688 Ho
0.893 0.702 0.191 Ho
0.125 0.500 0.625 Co
0.387 0.887 0.500 Co
0.500 0.500 0.000 Co
0.613 0.113 0.500 Co
0.875 0.500 0.375 Co